Model A:
The following is a PBE calculation of a relaxed structure of Cd4SnBi, from the Alexandria database.

POSCAR file:
```
Cd4SnBi
1.0
7.831 0.000 0.000
0.000 8.140 0.000
0.000 0.000 5.313
Cd Sn Bi
8 2 2
direct
0.137 0.136 0.000
0.160 0.344 0.500
0.340 0.844 0.500
0.363 0.636 0.000
0.637 0.364 0.000
0.660 0.156 0.500
0.840 0.656 0.500
0.863 0.864 0.000
0.000 0.000 0.500
0.500 0.500 0.500
0.000 0.500 0.000
0.500 0.000 0.000
```

Results
Space-group type: No. 55

---

Model B:
The following is a PBE calculation of a relaxed structure of Cd4SnBi, from the Alexandria database.

POSCAR file:
```
Cd4SnBi
1.0
0.000 4.251 4.251
4.251 0.000 4.251
4.251 4.251 0.000
Cd Sn Bi
4 1 1
direct
0.125 0.125 0.125
0.125 0.125 0.625
0.125 0.625 0.125
0.625 0.125 0.125
0.500 0.500 0.500
0.750 0.750 0.750
```

Results
Space-group type: No. 216

---

Which one is the most stable? From the structures above, model A.